(1)
Compound: CuSiN3
Source: Alexandria via LeMat-Bulk
Functional: GGA-PBEsol
Structure: relaxed

Symmetry: Pm-3m (221)
Total DFT energy (no corrections) (eV for the cell shown): -31.596
DOS at the Fermi energy (states/eV/cell): 3.85
Total magnetic moment (μB/f.u.): 0.00
Formation energy without anion corrections (eV per atom): 0.81

CIF file:
```
data_CuSiN3
_symmetry_space_group_name_H-M 'P 1'
_symmetry_Int_Tables_number 1
_cell_length_a 3.5669
_cell_length_b 3.5669
_cell_length_c 3.5669
_cell_angle_alpha 90.00
_cell_angle_beta 90.00
_cell_angle_gamma 90.00
loop_
_symmetry_equiv_pos_as_xyz
'x,y,z'
loop_
_atom_site_label
_atom_site_type_symbol
_atom_site_fract_x
_atom_site_fract_y
_atom_site_fract_z
_atom_site_occupancy
Cu1 Cu 0.5000 0.5000 0.5000 1
Si1 Si 0.0000 0.0000 0.0000 1
N1 N 0.5000 0.0000 0.0000 1
N2 N 0.0000 0.5000 0.0000 1
N3 N 0.0000 0.0000 0.5000 1
```

=====

(2)
Compound: Cu3SiN
Source: Alexandria via LeMat-Bulk
Functional: GGA-PBEsol
Structure: relaxed

Symmetry: Pm-3m (221)
Total DFT energy (no corrections) (eV for the cell shown): -25.136
DOS at the Fermi energy (states/eV/cell): 2.32
Total magnetic moment (μB/f.u.): 0.00
Formation energy without anion corrections (eV per atom): 0.43

CIF file:
```
data_Cu3SiN
_symmetry_space_group_name_H-M 'P 1'
_symmetry_Int_Tables_number 1
_cell_length_a 3.8908
_cell_length_b 3.8908
_cell_length_c 3.8908
_cell_angle_alpha 90.00
_cell_angle_beta 90.00
_cell_angle_gamma 90.00
loop_
_symmetry_equiv_pos_as_xyz
'x,y,z'
loop_
_atom_site_label
_atom_site_type_symbol
_atom_site_fract_x
_atom_site_fract_y
_atom_site_fract_z
_atom_site_occupancy
Cu1 Cu 0.0000 0.0000 0.5000 1
Cu2 Cu 0.0000 0.5000 0.0000 1
N1 N 0.0000 0.0000 0.0000 1
Cu3 Cu 0.5000 0.0000 0.0000 1
Si1 Si 0.5000 0.5000 0.5000 1
```

=====

- Number 1 is which compound?
  CuSiN3

=====

- Which value of DOS at the Fermi energy does entry 2 give?
  2.32 states/eV/cell